# 1
Na2AlAgAu6: relaxed, PBE.

Cell and atoms, written as POSCAR:
```
Na2AlAgAu6
1.0
7.148 0.000 0.000
0.000 7.148 0.000
3.574 3.574 5.054
Au Al Ag Na
6 1 1 2
Direct
0.260 0.740 0.000
0.740 0.260 0.000
0.260 0.260 0.480
0.740 0.740 0.000
0.260 0.260 0.000
0.740 0.740 0.520
0.500 0.500 0.000
0.000 0.000 0.000
0.750 0.250 0.500
0.250 0.750 0.500
```

Output
E_tot ... -2.841 eV/atom
Total moment ... 0.00 μB per cell
Formation enthalpy at 0 K ... 0.048 eV per atom
Fermi-level density of states ... 2.65 states/eV per cell

# 2
NaAlAgAu: relaxed, PBE.

Cell and atoms, written as POSCAR:
```
NaAlAgAu
1.0
-2.847 3.308 1.649
-3.552 1.533 -2.608
-4.387 -1.070 1.172
Al Ag Na Au
1 1 1 1
Direct
0.500 0.500 0.500
0.250 0.250 0.250
0.000 0.000 0.000
0.750 0.750 0.750
```

Output
E_tot ... -2.947 eV/atom
Total moment ... 0.00 μB per cell
Formation enthalpy at 0 K ... -0.150 eV per atom
Fermi-level density of states ... 1.99 states/eV per cell

# 3
Na2Al2AgAu5: relaxed, PBE.

Cell and atoms, written as POSCAR:
```
Na2Al2AgAu5
1.0
2.981 0.000 0.000
0.000 11.563 0.000
0.000 0.000 11.563
Al Au Na Ag
4 10 4 2
Direct
0.000 0.868 0.368
0.000 0.632 0.868
0.000 0.132 0.632
0.000 0.368 0.132
0.500 0.573 0.696
0.500 0.196 0.073
0.500 0.927 0.196
0.500 0.304 0.573
0.500 0.073 0.804
0.500 0.500 0.000
0.500 0.804 0.927
0.500 0.696 0.427
0.500 0.000 0.500
0.500 0.427 0.304
0.000 0.828 0.672
0.000 0.172 0.328
0.000 0.672 0.172
0.000 0.328 0.828
0.000 0.000 0.000
0.000 0.500 0.500
```

Output
E_tot ... -3.264 eV/atom
Total moment ... 0.00 μB per cell
Formation enthalpy at 0 K ... -0.328 eV per atom
Fermi-level density of states ... 3.92 states/eV per cell